A plane-wave DFT calculation with PBE-GGA was carried out for a relaxed Dy12Ag3H5 crystal.

Symmetry: Ia-3d, No. 230
Energy: -0.3124 Ry per atom

Unit cell a=13.294 b=13.294 c=13.294 alpha=109.47 beta=109.47 gamma=109.47
Atoms (fractional coordinates):
1 Dy 0.015 0.208 0.111
2 Dy 0.015 0.307 0.904
3 Dy 0.096 0.611 0.403
4 Dy 0.096 0.985 0.693
5 Dy 0.097 0.708 0.693
6 Dy 0.097 0.889 0.404
7 Dy 0.111 0.015 0.208
8 Dy 0.111 0.596 0.903
9 Dy 0.193 0.208 0.597
10 Dy 0.193 0.485 0.596
11 Dy 0.208 0.111 0.015
12 Dy 0.208 0.597 0.193
13 Dy 0.292 0.307 0.903
14 Dy 0.292 0.485 0.389
15 Dy 0.307 0.903 0.292
16 Dy 0.307 0.904 0.015
17 Dy 0.389 0.292 0.485
18 Dy 0.389 0.597 0.904
19 Dy 0.403 0.096 0.611
20 Dy 0.403 0.807 0.792
21 Dy 0.404 0.097 0.889
22 Dy 0.404 0.807 0.515
23 Dy 0.485 0.389 0.292
24 Dy 0.485 0.596 0.193
25 Dy 0.515 0.404 0.807
26 Dy 0.515 0.611 0.708
27 Dy 0.596 0.193 0.485
28 Dy 0.596 0.903 0.111
29 Dy 0.597 0.193 0.208
30 Dy 0.597 0.904 0.389
31 Dy 0.611 0.403 0.096
32 Dy 0.611 0.708 0.515
33 Dy 0.693 0.096 0.985
34 Dy 0.693 0.097 0.708
35 Dy 0.708 0.515 0.611
36 Dy 0.708 0.693 0.097
37 Dy 0.792 0.403 0.807
38 Dy 0.792 0.889 0.985
39 Dy 0.807 0.515 0.404
40 Dy 0.807 0.792 0.403
41 Dy 0.889 0.404 0.097
42 Dy 0.889 0.985 0.792
43 Dy 0.903 0.111 0.596
44 Dy 0.903 0.292 0.307
45 Dy 0.904 0.015 0.307
46 Dy 0.904 0.389 0.597
47 Dy 0.985 0.693 0.096
48 Dy 0.985 0.792 0.889
49 Ag 0.125 0.250 0.375
50 Ag 0.125 0.375 0.750
51 Ag 0.250 0.375 0.125
52 Ag 0.250 0.875 0.625
53 Ag 0.375 0.125 0.250
54 Ag 0.375 0.750 0.125
55 Ag 0.625 0.250 0.875
56 Ag 0.625 0.875 0.750
57 Ag 0.750 0.125 0.375
58 Ag 0.750 0.625 0.875
59 Ag 0.875 0.625 0.250
60 Ag 0.875 0.750 0.625
61 H 0.000 0.000 0.000
62 H 0.000 0.000 0.500
63 H 0.000 0.500 0.000
64 H 0.000 0.500 0.500
65 H 0.125 0.750 0.875
66 H 0.125 0.875 0.250
67 H 0.250 0.125 0.875
68 H 0.250 0.625 0.375
69 H 0.375 0.250 0.625
70 H 0.375 0.625 0.750
71 H 0.500 0.000 0.000
72 H 0.500 0.000 0.500
73 H 0.500 0.500 0.000
74 H 0.500 0.500 0.500
75 H 0.625 0.375 0.250
76 H 0.625 0.750 0.375
77 H 0.750 0.375 0.625
78 H 0.750 0.875 0.125
79 H 0.875 0.125 0.750
80 H 0.875 0.250 0.125